TaMoPbO6: relaxed, PBE+U.

Results
M_tot = 1.00 μB/f.u.
crystal system = tetragonal
total energy = -7.760 eV per atom

abc: 5.045 5.045 9.847
angles: 90.00 90.00 90.00
Space group P4_2nm (No. 102)
One atom of each set of equivalent atoms:
Ta (0.000, 0.000, 0.000) (multiplicity 2)
Mo (0.000, 0.000, 0.329) (multiplicity 2)
Pb (0.000, 0.000, 0.658) (multiplicity 2)
O (0.167, 0.167, 0.164) (multiplicity 4)
O (0.231, 0.231, 0.468) (multiplicity 4)
O (0.237, 0.237, 0.868) (multiplicity 4)